# 1
A PBEsol-optimized structure of LiYZnMo2, computed with meta-GGA SCAN.

```
5
Lattice="4.760 0.000 0.000 0.000 4.760 0.000 0.000 0.000 5.254" Properties=species:S:1:pos:R:3 pbc="T T T"
Li 0.000 0.000 0.000
Y 2.380 2.380 2.627
Zn 2.380 2.380 0.000
Mo 0.000 2.380 2.627
Mo 2.380 0.000 2.627
```

Properties
VASP energy in eV/cell: -103.42
Density of states at the Fermi level in states/eV per cell: 4.34

=====

# 2
A PBEsol-optimized structure of SrBeCo, computed with meta-GGA SCAN.

```
12
Lattice="6.173 0.000 0.000 0.000 6.173 0.000 0.000 0.000 6.173" Properties=species:S:1:pos:R:3 pbc="T T T"
Sr 0.000 0.000 0.000
Sr 0.000 3.087 3.087
Sr 3.087 0.000 3.087
Sr 3.087 3.087 0.000
Be 1.543 1.543 1.543
Be 1.543 4.630 4.630
Be 4.630 1.543 4.630
Be 4.630 4.630 1.543
Co 0.000 0.000 3.087
Co 0.000 3.087 0.000
Co 3.087 0.000 0.000
Co 3.087 3.087 3.087
```

Properties
VASP energy in eV/cell: -164.02
ΔE to the lowest computed polymorph in eV per atom: 0.000
Density of states at the Fermi level in states/eV per cell: 10.67

=====

| no. | energy relative to the elements (eV/atom) |
| --- | --- |
| 1 | 2.020 |
| 2 | 0.976 |